Here is crystalline NaAlC at its relaxed geometry from the Alexandria database. Energies are from PBE.

E_form	0.184	eV per atom
symmetry	R-3m (166)

Lattice parameters (Å, degrees): 6.463 6.463 6.463 41.94 41.94 41.94
Atoms (fractional coordinates):
Na 0.103 0.103 0.103
Na 0.897 0.897 0.897
Al 0.349 0.349 0.349
Al 0.651 0.651 0.651
C 0.464 0.464 0.464
C 0.536 0.536 0.536

---

Here is crystalline NaAlCO5 at its relaxed geometry from the Alexandria database. Energies are from PBE.

symmetry	Imma (74)
total DFT energy (no corrections)	-6.425	eV/atom

Lattice parameters (Å, degrees): 6.812 6.812 6.812 129.74 108.81 92.19
Atoms (fractional coordinates):
Na 0.000 0.000 0.000
Na 0.500 0.000 0.500
Al 0.500 0.000 0.000
Al 0.500 0.500 0.500
C 0.217 0.467 0.750
C 0.783 0.533 0.250
O 0.081 0.331 0.750
O 0.280 0.333 0.552
O 0.280 0.728 0.948
O 0.334 0.223 0.111
O 0.387 0.777 0.611
O 0.613 0.223 0.389
O 0.666 0.777 0.889
O 0.720 0.272 0.052
O 0.720 0.667 0.448
O 0.919 0.669 0.250

---

Here is crystalline Na2AlPCO7 at its relaxed geometry from the Alexandria database. Energies are from PBE.

symmetry	P2_1/m (11)
total DFT energy (no corrections)	-6.845	eV/atom

Lattice parameters (Å, degrees): 5.202 6.396 8.970 90.00 92.53 90.00
Atoms (fractional coordinates):
Na 0.234 0.006 0.277
Na 0.234 0.494 0.277
Na 0.766 0.506 0.723
Na 0.766 0.994 0.723
Al 0.216 0.250 0.854
Al 0.784 0.750 0.146
P 0.273 0.750 0.932
P 0.727 0.250 0.068
C 0.277 0.250 0.590
C 0.723 0.750 0.410
O 0.049 0.250 0.647
O 0.120 0.750 0.077
O 0.204 0.553 0.839
O 0.204 0.947 0.839
O 0.319 0.250 0.454
O 0.431 0.250 0.026
O 0.462 0.250 0.697
O 0.538 0.750 0.303
O 0.569 0.750 0.974
O 0.681 0.750 0.546
O 0.796 0.053 0.161
O 0.796 0.447 0.161
O 0.880 0.250 0.923
O 0.951 0.750 0.353

---

Here is crystalline Na2AlPdC at its relaxed geometry from the Alexandria database. Energies are from PBE.

E_form	0.752	eV per atom
symmetry	P4/mmm (123)

Lattice parameters (Å, degrees): 5.502 5.502 3.852 90.00 90.00 90.00
Atoms (fractional coordinates):
Na 0.000 0.500 0.000
Na 0.500 0.000 0.000
Al 0.000 0.000 0.500
Pd 0.500 0.500 0.000
C 0.500 0.500 0.500